{
  "formula": "LaTc2Ge2",
  "functional": "PBE",
  "state": "optimized geometry",
  "magmom_total_mub_per_fu": 0.01,
  "space_group": "C2/m",
  "total_energy_ev_per_cell": -74.9,
  "de_polymorph_mev_per_atom": 0,
  "lattice_angstrom": [[11.0973, -2.1006, 0.0000], [11.0973, 2.1006, 0.0000], [-0.7902, 0.0000, 4.1932]],
  "species": ["La", "La", "Tc", "Tc", "Tc", "Tc", "Ge", "Ge", "Ge", "Ge"],
  "fractional_positions": [[0.1583, 0.1583, 0.3930], [0.8417, 0.8417, 0.6070], [0.0336, 0.0336, 0.7822], [0.4645, 0.4645, 0.7156], [0.5355, 0.5355, 0.2844], [0.9664, 0.9664, 0.2178], [0.2785, 0.2785, 0.0994], [0.3973, 0.3973, 0.1489], [0.6027, 0.6027, 0.8511], [0.7215, 0.7215, 0.9006]]
}

***

{
  "formula": "LaTc2Ge2",
  "functional": "PBE",
  "state": "optimized geometry",
  "magmom_total_mub_per_fu": 0.11,
  "space_group": "I4/mmm",
  "total_energy_ev_per_cell": -37.0,
  "de_polymorph_mev_per_atom": 89,
  "lattice_angstrom": [[-2.1156, 2.1156, 5.4183], [2.1156, -2.1156, 5.4183], [2.1156, 2.1156, -5.4183]],
  "species": ["La", "Tc", "Tc", "Ge", "Ge"],
  "fractional_positions": [[0.0000, 0.0000, 0.0000], [0.2500, 0.7500, 0.5000], [0.7500, 0.2500, 0.5000], [0.3747, 0.3747, 0.0000], [0.6253, 0.6253, 0.0000]]
}

***

{
  "formula": "La2Zn2Ge3",
  "functional": "PBE",
  "state": "optimized geometry",
  "magmom_total_mub_per_fu": 0.00,
  "space_group": "R3m",
  "total_energy_ev_per_cell": -28.9,
  "lattice_angstrom": [[2.2540, 1.3014, 9.2144], [-2.2540, 1.3014, 9.2144], [0.0000, -2.6027, 9.2144]],
  "species": ["La", "La", "Zn", "Zn", "Ge", "Ge", "Ge"],
  "fractional_positions": [[0.0000, 0.0000, 0.0000], [0.4951, 0.4951, 0.4951], [0.2436, 0.2436, 0.2436], [0.7456, 0.7456, 0.7456], [0.3894, 0.3894, 0.3894], [0.6081, 0.6081, 0.6081], [0.8805, 0.8805, 0.8805]]
}

***

{
  "formula": "LaZnGe",
  "functional": "PBE",
  "state": "optimized geometry",
  "magmom_total_mub_per_fu": 0.00,
  "space_group": "F-43m",
  "total_energy_ev_per_cell": -11.1,
  "lattice_angstrom": [[0.0000, 3.4999, 3.4999], [3.4999, 0.0000, 3.4999], [3.4999, 3.4999, 0.0000]],
  "species": ["La", "Zn", "Ge"],
  "fractional_positions": [[0.0000, 0.0000, 0.0000], [0.2500, 0.2500, 0.2500], [0.7500, 0.7500, 0.7500]]
}

***

{
  "formula": "La2Zn6Ge3",
  "functional": "PBE",
  "state": "optimized geometry",
  "magmom_total_mub_per_fu": 0.00,
  "space_group": "P-62m",
  "total_energy_ev_per_cell": -36.4,
  "lattice_angstrom": [[7.7297, 0.0000, 0.0000], [-3.8648, 6.6941, 0.0000], [0.0000, 0.0000, 4.1543]],
  "species": ["La", "La", "Zn", "Zn", "Zn", "Zn", "Zn", "Zn", "Ge", "Ge", "Ge"],
  "fractional_positions": [[0.3333, 0.6667, 0.0000], [0.6667, 0.3333, 0.0000], [0.0000, 0.1884, 0.0000], [0.0000, 0.7100, 0.5000], [0.1884, 0.0000, 0.0000], [0.2900, 0.2900, 0.5000], [0.7100, 0.0000, 0.5000], [0.8116, 0.8116, 0.0000], [0.0000, 0.3791, 0.5000], [0.3791, 0.0000, 0.5000], [0.6209, 0.6209, 0.5000]]
}

***

{
  "formula": "LaZrGe",
  "functional": "PBE",
  "state": "optimized geometry",
  "magmom_total_mub_per_fu": 2.89,
  "space_group": "F-43m",
  "total_energy_ev_per_cell": -16.1,
  "lattice_angstrom": [[0.0000, 3.5458, 3.5458], [3.5458, 0.0000, 3.5458], [3.5458, 3.5458, 0.0000]],
  "species": ["La", "Zr", "Ge"],
  "fractional_positions": [[0.0000, 0.0000, 0.0000], [0.2500, 0.2500, 0.2500], [0.7500, 0.7500, 0.7500]]
}

***

{
  "formula": "LaZrGe",
  "functional": "PBE",
  "state": "optimized geometry",
  "magmom_total_mub_per_fu": 0.03,
  "space_group": "F-43m",
  "total_energy_ev_per_cell": -17.4,
  "lattice_angstrom": [[0.0000, 3.3763, 3.3763], [3.3763, 0.0000, 3.3763], [3.3763, 3.3763, 0.0000]],
  "species": ["La", "Zr", "Ge"],
  "fractional_positions": [[0.0000, 0.0000, 0.0000], [0.7500, 0.7500, 0.7500], [0.5000, 0.5000, 0.5000]]
}

***

{
  "formula": "LiLu2Ge",
  "functional": "PBE",
  "state": "optimized geometry",
  "magmom_total_mub_per_fu": 0.00,
  "space_group": "F-43m",
  "total_energy_ev_per_cell": -15.5,
  "lattice_angstrom": [[0.0000, 3.5528, 3.5528], [3.5528, 0.0000, 3.5528], [3.5528, 3.5528, 0.0000]],
  "species": ["Li", "Lu", "Lu", "Ge"],
  "fractional_positions": [[0.0000, 0.0000, 0.0000], [0.2500, 0.2500, 0.2500], [0.5000, 0.5000, 0.5000], [0.7500, 0.7500, 0.7500]]
}